Computed, not measured: a geometry-optimized Ac2ErMnO6 structure at the GGA+U level of DFT. Values from VASP.

Total energy (eV per atom): -7.87
Symmetry: C2/m
Crystal system: monoclinic

The structure in Quantum ESPRESSO input format:
```
&SYSTEM
  ibrav = 0, nat = 10, ntyp = 4
/
ATOMIC_SPECIES
O 16.00 O.upf
Ac 227.00 Ac.upf
Er 167.26 Er.upf
Mn 54.94 Mn.upf
CELL_PARAMETERS angstrom
5.873 0.000 -0.353
0.000 5.824 0.000
-2.791 -2.912 4.284
ATOMIC_POSITIONS crystal
O 0.649 0.236 0.471
O 0.214 0.709 0.901
O 0.786 0.291 0.099
O 0.786 0.808 0.099
O 0.214 0.192 0.901
O 0.351 0.764 0.529
Ac 0.760 0.747 0.494
Ac 0.240 0.253 0.506
Er 0.000 0.500 0.000
Mn 0.500 0.000 0.000
```